# RbZr2Cr, optimized geometry, DFT GGA-PBE
data_RbZr2Cr
_symmetry_space_group_name_H-M 'F m -3 m'
_symmetry_Int_Tables_number 225
_symmetry_space_group_name_Hall '-F 4 2 3'
_cell_length_a 7.275
_cell_length_b 7.275
_cell_length_c 7.275
_cell_angle_alpha 90.00
_cell_angle_beta 90.00
_cell_angle_gamma 90.00
loop_
_atom_site_label
_atom_site_type_symbol
_atom_site_fract_x
_atom_site_fract_y
_atom_site_fract_z
Rb1 Rb 0.000 0.000 0.000
Zr1 Zr 0.250 0.250 0.250
Cr1 Cr 0.000 0.000 0.500
# - Energy relative to the elements: 1.2778 eV/atom
# - Relative energy among the computed polymorphs: 75.9 meV/atom